DFT (PBE) results for a geometry-optimized Mg5Tl6Cd structure.

Calculated formation energy, kcal/mol of atoms: -0.254
Size of the total moment, μB/atom: 0.000

Cell lengths 9.0185, 9.0185, 4.9695 Å; angles 105.79, 105.79, 52.44 degrees
Closest atoms and distances in Å follow each position.
Element x y z (fractional)
Mg  0.0000  0.0000  0.0000  8 Tl 3.16-3.26
Mg  0.1675  0.1675  0.6674  8 Tl 3.17-3.24
Mg  0.3380  0.3380  0.3399  8 Tl 3.20-3.27, 2 Cd 3.52
Mg  0.6620  0.6620  0.6601  8 Tl 3.20-3.27, 2 Cd 3.52
Mg  0.8325  0.8325  0.3326  8 Tl 3.17-3.24
Tl  0.0777  0.5852  0.8318  7 Mg 3.17-3.27, 1 Cd 3.29, 2 Tl 3.52-3.54
Tl  0.2445  0.7555  0.5000  6 Mg 3.16-3.24, 2 Cd 3.21
Tl  0.4148  0.9223  0.1682  7 Mg 3.17-3.27, 1 Cd 3.29, 2 Tl 3.52-3.54
Tl  0.5852  0.0777  0.8318  7 Mg 3.17-3.27, 1 Cd 3.29, 2 Tl 3.52-3.54
Tl  0.7555  0.2445  0.5000  6 Mg 3.16-3.24, 2 Cd 3.21
Tl  0.9223  0.4148  0.1682  7 Mg 3.17-3.27, 1 Cd 3.29, 2 Tl 3.52-3.54
Cd  0.5000  0.5000  0.0000  8 Tl 3.21-3.29, 4 Mg 3.52

---

DFT (PBE) results for a geometry-optimized Th2Bi2H structure.

Energy, eV/atom: -5.658
Size of the total moment, μB/atom: 0.000

Cell lengths 8.0775, 8.0775, 8.7809 Å; angles 90.00, 90.00, 149.35 degrees
Closest atoms and distances in Å follow each position.
Element x y z (fractional)
Th  0.0646  0.9354  0.5000  1 H 2.35
Th  0.3542  0.6458  0.4118  2 H 2.37
Th  0.6458  0.3542  0.9118  2 H 2.37
Th  0.9354  0.0646  0.0000  1 H 2.35
Bi  0.2772  0.7228  0.0685  5 Th 3.24-3.31, 1 H 3.26
Bi  0.4622  0.5378  0.7237  6 Th 3.21-3.31, 4 H 3.38-3.39
Bi  0.5378  0.4622  0.2237  6 Th 3.21-3.31, 4 H 3.38-3.39
Bi  0.7228  0.2772  0.5685  5 Th 3.24-3.31, 1 H 3.26
H  0.0816  0.9184  0.9354  3 Th 2.35-2.37
H  0.9184  0.0816  0.4354  3 Th 2.35-2.37

---

DFT (PBE) results for a geometry-optimized La2FeSi structure.

Formation energy from raw total energies, eV per atom: -0.082
Size of the total moment, μB/atom: 0.441

Cell lengths 4.9398, 4.9398, 3.9624 Å; angles 90.00, 90.00, 90.00 degrees
Closest atoms and distances in Å follow each position.
Element x y z (fractional)
La  0.0000  0.5000  0.0000  4 Fe 3.17, 4 Si 3.17, 4 La 3.49
La  0.5000  0.0000  0.0000  4 Fe 3.17, 4 Si 3.17, 4 La 3.49
Fe  0.0000  0.0000  0.5000  8 La 3.17, 4 Si 3.49
Si  0.5000  0.5000  0.5000  8 La 3.17, 4 Fe 3.49

---

DFT (PBE) results for a geometry-optimized Mg2HgPd2 structure.

Calculated formation energy, kcal/mol of atoms: -12.092
Energy above the most stable polymorph in this dataset, eV/atom: 0.000
Size of the total moment, μB/atom: 0.000

Cell lengths 7.4387, 7.4387, 3.2729 Å; angles 90.00, 90.00, 90.00 degrees
Closest atoms and distances in Å follow each position.
Element x y z (fractional)
Mg  0.1564  0.3436  0.0000  6 Pd 2.70-2.74
Mg  0.3436  0.8436  0.0000  6 Pd 2.70-2.74
Mg  0.6564  0.1564  0.0000  6 Pd 2.70-2.74
Mg  0.8436  0.6564  0.0000  6 Pd 2.70-2.74
Hg  0.0000  0.0000  0.5000  4 Pd 2.88
Hg  0.5000  0.5000  0.5000  4 Pd 2.88
Pd  0.1391  0.6391  0.5000  6 Mg 2.70-2.74, 2 Hg 2.88, 1 Pd 2.93
Pd  0.3609  0.1391  0.5000  6 Mg 2.70-2.74, 2 Hg 2.88, 1 Pd 2.93
Pd  0.6391  0.8609  0.5000  6 Mg 2.70-2.74, 2 Hg 2.88, 1 Pd 2.93
Pd  0.8609  0.3609  0.5000  6 Mg 2.70-2.74, 2 Hg 2.88, 1 Pd 2.93

---

DFT (PBE) results for a geometry-optimized SnRu3S structure.

Formation energy from raw total energies, eV per atom: 0.358
Energy above the most stable polymorph in this dataset, eV/atom: 0.000
Size of the total moment, μB/atom: 0.000

Cell lengths 4.3860, 4.3860, 4.3860 Å; angles 90.00, 90.00, 90.00 degrees
Closest atoms and distances in Å follow each position.
Element x y z (fractional)
Sn  0.0000  0.0000  0.0000  12 Ru 3.10
Ru  0.0000  0.5000  0.5000  2 S 2.19
Ru  0.5000  0.0000  0.5000  2 S 2.19
Ru  0.5000  0.5000  0.0000  2 S 2.19
S  0.5000  0.5000  0.5000  6 Ru 2.19

---

DFT (PBE) results for a geometry-optimized AcHgBiBr structure.

Formation energy from raw total energies, eV per atom: -0.734
Size of the total moment, μB/atom: 0.000

Cell lengths 7.8454, 7.8454, 7.8454 Å; angles 90.00, 90.00, 90.00 degrees
Closest atoms and distances in Å follow each position.
Element x y z (fractional)
Ac  0.0000  0.0000  0.0000  4 Hg 3.40, 4 Br 3.40
Ac  0.0000  0.5000  0.5000  4 Hg 3.40, 4 Br 3.40
Ac  0.5000  0.0000  0.5000  4 Hg 3.40, 4 Br 3.40
Ac  0.5000  0.5000  0.0000  4 Hg 3.40, 4 Br 3.40
Hg  0.2500  0.2500  0.2500  4 Ac 3.40, 4 Bi 3.40
Hg  0.2500  0.7500  0.7500  4 Ac 3.40, 4 Bi 3.40
Hg  0.7500  0.2500  0.7500  4 Ac 3.40, 4 Bi 3.40
Hg  0.7500  0.7500  0.2500  4 Ac 3.40, 4 Bi 3.40
Bi  0.0000  0.0000  0.5000  4 Hg 3.40, 4 Br 3.40
Bi  0.0000  0.5000  0.0000  4 Hg 3.40, 4 Br 3.40
Bi  0.5000  0.0000  0.0000  4 Hg 3.40, 4 Br 3.40
Bi  0.5000  0.5000  0.5000  4 Hg 3.40, 4 Br 3.40
Br  0.2500  0.2500  0.7500  4 Ac 3.40, 4 Bi 3.40
Br  0.2500  0.7500  0.2500  4 Ac 3.40, 4 Bi 3.40
Br  0.7500  0.2500  0.2500  4 Ac 3.40, 4 Bi 3.40
Br  0.7500  0.7500  0.7500  4 Bi 3.40, 4 Ac 3.40

---

DFT (PBE) results for a geometry-optimized BaTi3W structure.

Calculated formation energy, kcal/mol of atoms: 16.913
Energy above the most stable polymorph in this dataset, eV/atom: 0.000
Size of the total moment, μB/atom: 0.000

Cell lengths 5.0043, 5.0043, 5.0043 Å; angles 90.00, 90.00, 90.00 degrees
Closest atoms and distances in Å follow each position.
Element x y z (fractional)
Ba  0.0000  0.0000  0.0000  12 Ti 3.54
Ti  0.0000  0.5000  0.5000  2 W 2.50
Ti  0.5000  0.0000  0.5000  2 W 2.50
Ti  0.5000  0.5000  0.0000  2 W 2.50
W  0.5000  0.5000  0.5000  6 Ti 2.50

---

DFT (PBE) results for a geometry-optimized LaPmPrEr3 structure.

Calculated formation energy, kcal/mol of atoms: 4.160
Size of the total moment, μB/atom: 0.000

Cell lengths 10.4097, 10.4097, 7.1096 Å; angles 90.15, 90.15, 31.43 degrees
Closest atoms and distances in Å follow each position.
Element x y z (fractional)
La  0.1470  0.1470  0.0411  1 Pm 3.00, 2 Er 3.24-3.34
La  0.8530  0.8530  0.9589  1 Pm 3.00, 2 Er 3.24-3.34
Pm  0.1493  0.1493  0.4635  1 La 3.00, 2 Er 3.21-3.30
Pm  0.8507  0.8507  0.5365  1 La 3.00, 2 Er 3.21-3.30
Pr  0.4456  0.4456  0.7413  3 Er 3.23-3.35
Pr  0.5544  0.5544  0.2587  3 Er 3.23-3.35
Er  0.0242  0.0242  0.7446  1 Pm 3.21, 2 Pr 3.23, 1 La 3.24
Er  0.2783  0.2783  0.7531  3 Pm 3.30-3.53, 3 La 3.34-3.51, 1 Pr 3.35, 2 Er 3.62
Er  0.3352  0.3352  0.2573  2 Pm 3.46, 2 La 3.55, 4 Er 3.62-3.76
Er  0.6648  0.6648  0.7427  2 Pm 3.46, 2 La 3.55, 4 Er 3.62-3.76
Er  0.7217  0.7217  0.2469  3 Pm 3.30-3.53, 3 La 3.34-3.51, 1 Pr 3.35, 2 Er 3.62
Er  0.9758  0.9758  0.2554  1 Pm 3.21, 2 Pr 3.23, 1 La 3.24

---

DFT (PBE) results for a geometry-optimized Tb4SmEr6 structure.

Calculated formation energy, kcal/mol of atoms: 10.554
Energy above the most stable polymorph in this dataset, eV/atom: 0.336
Size of the total moment, μB/atom: 0.000

Cell lengths 8.4150, 8.4150, 8.4150 Å; angles 125.91, 125.91, 80.03 degrees
Closest atoms and distances in Å follow each position.
Element x y z (fractional)
Tb  0.2560  0.2560  0.6625  3 Er 3.01-3.21, 2 Tb 3.23
Tb  0.4065  0.7440  0.0000  3 Er 3.01-3.21, 2 Tb 3.23
Tb  0.5935  0.5935  0.3375  3 Er 3.01-3.21, 2 Tb 3.23
Tb  0.7440  0.4065  0.0000  3 Er 3.01-3.21, 2 Tb 3.23
Sm  0.0000  0.0000  0.0000  8 Er 3.60-3.83, 4 Tb 3.71
Er  0.0000  0.5000  0.5000  4 Tb 3.01
Er  0.0642  0.5663  0.0000  4 Tb 3.21-3.57, 1 Sm 3.60
Er  0.4337  0.4337  0.4978  4 Tb 3.21-3.57, 1 Sm 3.60
Er  0.5000  0.0000  0.5000  4 Tb 3.01
Er  0.5663  0.0642  0.0000  4 Tb 3.21-3.57, 1 Sm 3.60
Er  0.9358  0.9358  0.5022  4 Tb 3.21-3.57, 1 Sm 3.60

---

DFT (PBE) results for a geometry-optimized FeSiNi2 structure.

Formation energy from raw total energies, eV per atom: -0.311
Size of the total moment, μB/atom: 0.624

Cell lengths 3.6107, 3.6107, 6.7449 Å; angles 90.00, 90.00, 90.00 degrees
Closest atoms and distances in Å follow each position.
Element x y z (fractional)
Fe  0.0000  0.0000  0.0000  8 Ni 2.47-2.55, 4 Si 2.47
Fe  0.5000  0.5000  0.5000  8 Ni 2.47-2.55, 4 Si 2.47
Si  0.0000  0.5000  0.2500  4 Fe 2.47, 8 Ni 2.47-2.55
Si  0.5000  0.0000  0.7500  4 Fe 2.47, 8 Ni 2.47-2.55
Ni  0.0000  0.0000  0.5000  4 Ni 2.47, 4 Si 2.47, 4 Fe 2.55
Ni  0.0000  0.5000  0.7500  4 Fe 2.47, 4 Ni 2.47, 4 Si 2.55
Ni  0.5000  0.0000  0.2500  4 Fe 2.47, 4 Ni 2.47, 4 Si 2.55
Ni  0.5000  0.5000  0.0000  4 Ni 2.47, 4 Si 2.47, 4 Fe 2.55

---

DFT (PBE) results for a geometry-optimized NaPrEuSn structure.

Calculated formation energy, kcal/mol of atoms: -8.161
Size of the total moment, μB/atom: 1.919

Cell lengths 7.9049, 7.9049, 7.9049 Å; angles 90.00, 90.00, 90.00 degrees
Closest atoms and distances in Å follow each position.
Element x y z (fractional)
Na  0.0000  0.0000  0.0000  4 Pr 3.42, 4 Eu 3.42
Na  0.0000  0.5000  0.5000  4 Pr 3.42, 4 Eu 3.42
Na  0.5000  0.0000  0.5000  4 Pr 3.42, 4 Eu 3.42
Na  0.5000  0.5000  0.0000  4 Pr 3.42, 4 Eu 3.42
Pr  0.2500  0.2500  0.7500  4 Sn 3.42, 4 Na 3.42
Pr  0.2500  0.7500  0.2500  4 Sn 3.42, 4 Na 3.42
Pr  0.7500  0.2500  0.2500  4 Sn 3.42, 4 Na 3.42
Pr  0.7500  0.7500  0.7500  4 Sn 3.42, 4 Na 3.42
Eu  0.2500  0.2500  0.2500  4 Sn 3.42, 4 Na 3.42
Eu  0.2500  0.7500  0.7500  4 Sn 3.42, 4 Na 3.42
Eu  0.7500  0.2500  0.7500  4 Sn 3.42, 4 Na 3.42
Eu  0.7500  0.7500  0.2500  4 Sn 3.42, 4 Na 3.42
Sn  0.0000  0.0000  0.5000  4 Pr 3.42, 4 Eu 3.42
Sn  0.0000  0.5000  0.0000  4 Pr 3.42, 4 Eu 3.42
Sn  0.5000  0.0000  0.0000  4 Pr 3.42, 4 Eu 3.42
Sn  0.5000  0.5000  0.5000  4 Pr 3.42, 4 Eu 3.42

---

DFT (PBE) results for a geometry-optimized BeSiW2 structure.

Formation energy from raw total energies, eV per atom: 0.091
Size of the total moment, μB/atom: 0.000

Cell lengths 3.2875, 4.0781, 8.0582 Å; angles 90.00, 90.00, 90.00 degrees
Closest atoms and distances in Å follow each position.
Element x y z (fractional)
Be  0.0000  0.0000  0.0000  2 Si 2.45, 6 W 2.62
Be  0.5000  0.5000  0.5000  2 Si 2.45, 6 W 2.62
Si  0.0000  0.5000  0.7254  2 Be 2.45, 6 W 2.62-2.64
Si  0.5000  0.0000  0.2254  2 Be 2.45, 6 W 2.62-2.64
W  0.0000  0.0000  0.4825  4 Be 2.62, 4 Si 2.64-2.83, 4 W 2.69-2.78
W  0.0000  0.5000  0.2471  4 Be 2.62-2.85, 4 Si 2.62, 4 W 2.69-2.78
W  0.5000  0.0000  0.7471  4 Be 2.62-2.85, 4 Si 2.62, 4 W 2.69-2.78
W  0.5000  0.5000  0.9825  4 Be 2.62, 4 Si 2.64-2.83, 4 W 2.69-2.78